Crystalline YTiAsSe2 at its relaxed geometry. Source: the Alexandria database, functional PBE-GGA.

Cell and atoms, written as POSCAR:
```
YTiAsSe2
1.0
5.3229 0.0000 0.0000
0.0000 5.3229 0.0000
0.0000 0.0000 5.3861
Y Ti As Se
1 1 1 2
Cartesian
0.0000 0.0000 0.0000
2.6615 2.6615 2.6931
0.0000 0.0000 2.6931
0.0000 2.6615 0.0000
2.6615 0.0000 0.0000
```

- Spin magnetization: 0.003 μB/atom
- E: -5.02 eV per atom
- Space-group type: P4/mmm

***

Crystalline LaPmGa at its relaxed geometry. Source: the Alexandria database, functional PBE-GGA.

Cell and atoms, written as POSCAR:
```
LaPmGa
1.0
6.9721 -1.8104 0.0000
6.9721 1.8104 0.0000
-1.0508 0.0000 7.3999
La Pm Ga
2 2 2
Cartesian
2.7214 0.0000 1.7724
10.1721 0.0000 5.6275
-0.1007 0.0000 5.7854
12.9942 0.0000 1.6146
5.0970 0.0000 3.8775
7.7965 0.0000 3.5224
```

- Spin magnetization: 0.000 μB/atom
- Energy relative to the elements: -0.27 eV per atom
- Space-group type: C2/m

***

What is the spin magnetization in the second record?
0.000 μB/atom

***

Which of these has the highest spin magnetization?
YTiAsSe2